1.
Density functional theory data (PBE) for Tm5MgZn6 after structural relaxation.

Results
V, Å³/atom: 21.17
Formation energy from the elements, eV/atom: -0.33
Magnetization, μB per formula unit: 0.0

Unit cell a=8.551 b=8.551 c=8.551 alpha=146.73 beta=131.63 gamma=59.97
Positions (direct):
1 Tm 0.000 0.000 0.000
2 Tm 0.169 0.669 0.500
3 Tm 0.337 0.337 0.000
4 Tm 0.663 0.663 0.000
5 Tm 0.831 0.331 0.500
6 Mg 0.500 0.000 0.500
7 Zn 0.092 0.837 0.255
8 Zn 0.258 0.500 0.758
9 Zn 0.419 0.163 0.255
10 Zn 0.581 0.837 0.745
11 Zn 0.742 0.500 0.242
12 Zn 0.908 0.163 0.745

2.
Density functional theory data (PBE) for Tm2Mg3Zn after structural relaxation.

Results
V, Å³/atom: 23.92
Formation energy from the elements, eV/atom: -0.09
Magnetization, μB per formula unit: 0.0

Unit cell a=3.313 b=4.994 c=8.674 alpha=90.00 beta=90.00 gamma=90.00
Positions (direct):
1 Tm 0.000 0.000 0.000
2 Tm 0.000 0.500 0.470
3 Mg 0.500 0.000 0.644
4 Mg 0.500 0.500 0.154
5 Mg 0.500 0.500 0.815
6 Zn 0.500 0.000 0.318

3.
Density functional theory data (PBE) for Tm3MgZn after structural relaxation.

Results
V, Å³/atom: 25.29
Formation energy from the elements, eV/atom: -0.13
Magnetization, μB per formula unit: 0.0

Unit cell a=10.265 b=10.265 c=5.039 alpha=90.00 beta=90.00 gamma=151.56
Positions (direct):
1 Tm 0.060 0.940 0.750
2 Tm 0.249 0.751 0.750
3 Tm 0.437 0.563 0.750
4 Tm 0.563 0.437 0.250
5 Tm 0.751 0.249 0.250
6 Tm 0.940 0.060 0.250
7 Mg 0.156 0.844 0.250
8 Mg 0.844 0.156 0.750
9 Zn 0.340 0.660 0.250
10 Zn 0.660 0.340 0.750